# 1
Density functional theory data (GGA-PBE) for a relaxed LaRuSe2 crystal.

Cell: 6.5832 6.5832 6.5832 Å, 35.87 35.87 35.87°
Last column: magnetic moment on the atom in μB.
Element x y z (fractional)
Se  0.9400  0.9400  0.9400  0.01
Ru  0.3275  0.3275  0.3275  0.25
Se  0.7284  0.7284  0.7284  0.00
La  0.5041  0.5041  0.5041  0.17

Summary:
**Crystal system**: trigonal
**Magnetic moment**: 0.73 μB/cell
**Formation energy (no corrections)**: -0.900 eV/atom
**V**: 21.89 Å³ per atom
**Symmetry**: R3m (160)

---

# 2
Density functional theory data (GGA-PBE) for a relaxed PbN2F crystal.

Cell: 4.0944 4.0944 4.0944 Å, 60.00 60.00 60.00°
Last column: magnetic moment on the atom in μB.
Element x y z (fractional)
Pb  0.5000  0.5000  0.5000  -0.05
N  0.2500  0.2500  0.2500  1.00
F  0.0000  0.0000  0.0000  0.30
N  0.7500  0.7500  0.7500  1.00

Summary:
**Crystal system**: cubic
**Magnetic moment**: 3.01 μB/cell
**Formation energy (no corrections)**: 1.411 eV/atom
**V**: 12.13 Å³ per atom
**Symmetry**: Fm-3m (225)

---

# 3
Density functional theory data (GGA-PBE) for a relaxed SrGe3Pd3 crystal.

Cell: 6.8944 6.8944 6.8944 Å, 90.00 90.00 90.00°
Element x y z (fractional)
Sr  0.0000  0.0000  0.0000
Ge  0.2500  0.5000  0.0000
Pd  0.5000  0.2500  0.0000
Ge  0.5000  0.0000  0.2500
Pd  0.0000  0.5000  0.2500
Ge  0.0000  0.2500  0.5000
Pd  0.5000  0.7500  0.0000
Pd  0.2500  0.0000  0.5000
Ge  0.5000  0.0000  0.7500
Ge  0.7500  0.5000  0.0000
Sr  0.5000  0.5000  0.5000
Ge  0.0000  0.7500  0.5000
Pd  0.0000  0.5000  0.7500
Pd  0.7500  0.0000  0.5000

Summary:
**Crystal system**: cubic
**Magnetic moment**: 0.00 μB/cell
**Energy of formation**: -0.383 eV per atom
**V**: 23.41 Å³ per atom
**Symmetry**: Pm-3n (223)

---

# 4
Density functional theory data (GGA-PBE) for a relaxed Si2SbMo crystal.

Cell: 5.0304 5.0304 5.0304 Å, 140.23 123.57 71.24°
Element x y z (fractional)
Si  0.7729  0.2729  0.5000
Sb  0.2318  0.7318  0.5000
Si  0.9800  0.9800  0.0000
Mo  0.5153  0.5153  0.0000

Summary:
**Crystal system**: orthorhombic
**Magnetic moment**: 0.00 μB/cell
**Formation energy (no corrections)**: 0.328 eV/atom
**V**: 16.64 Å³ per atom
**Symmetry**: Imm2 (44)